First-principles (PBE-GGA) data for a relaxed KZr2Fe crystal, as listed in Alexandria.

For the energy of formation, the calculation gives 0.702 eV per atom. For the density of states at the Fermi level, the calculation gives 11.0 states/eV per cell. The crystal system is orthorhombic. The energy above the most stable polymorph in this dataset is 391.6 meV/atom.

The space group is Immm (No. 71) and the conventional cell measures 3.306, 5.939 and 9.918 Å, with angles of 90.00, 90.00 and 90.00 degrees. Symmetry generates all atoms from K at (0.000, 0.000, 0.000), Zr at (0.000, 0.500, 0.183) and Fe at (0.000, 0.000, 0.500).

***

First-principles (PBE-GGA) data for a relaxed TaSbP2 crystal, as listed in Alexandria.

For the density of states at the Fermi level, the calculation gives 17.3 states/eV per cell. As for the formation energy from raw total energies: 0.60 eV/atom. The crystal system is cubic.

The space group is F-43m (No. 216) and the conventional cell measures 6.601, 6.601 and 6.601 Å, with angles of 90.00, 90.00 and 90.00 degrees. Symmetry generates all atoms from Ta at (0.000, 0.000, 0.000), Sb at (0.250, 0.250, 0.750), P at (0.000, 0.000, 0.500) and P at (0.250, 0.250, 0.250).

***

First-principles (PBE-GGA) data for a relaxed Zn5PbI12 crystal, as listed in Alexandria.

For the density of states at the Fermi level, the calculation gives 0.0 states/eV per cell. As for the formation energy from raw total energies: -0.53 eV/atom. The crystal system is triclinic.

The space group is P-1 (No. 2) and the conventional cell measures 7.293, 7.610 and 16.170 Å, with angles of 97.16, 93.86 and 114.01 degrees. Symmetry generates all atoms from Zn at (0.000, 0.000, 0.000), Zn at (0.043, 0.805, 0.431), Zn at (0.427, 0.660, 0.947), Pb at (0.500, 0.500, 0.500), I at (0.048, 0.158, 0.407), I at (0.091, 0.687, 0.910), I at (0.258, 0.492, 0.660), I at (0.285, 0.088, 0.129), I at (0.374, 0.785, 0.396) and I at (0.377, 0.288, 0.899).